Np3Co2Ge4 | Alexandria via LeMat-Bulk | PBE-GGA | optimized geometry; space-group type = No. 12; magnetization = 5.94 Bohr magnetons per cell; crystal system = monoclinic; VASP energy = -8.1566 eV per atom; N(E_F) = 18.69 states/eV/f.u.; calculated density = 11.4 Mg/m³; formation energy from the elements = -183.9 kJ/mol of formula units; offset from the most stable computed form = 0.004 eV per atom
1.0
-1.4505 0.3669 -3.8124
4.9541 -2.8840 0.0374
-6.6045 -4.5222 2.0775
Np Co Ge
3 2 4
Cartesian
0.0000 0.0000 0.0000
-4.0967 -3.2614 -0.9551
0.9958 -3.7779 -0.7425
-1.2746 -2.3112 -1.9373
-1.8263 -4.7280 0.2398
0.6981 -1.2849 -2.5891
-1.4369 -4.7139 -2.1068
-1.6639 -2.3253 0.4093
-3.7990 -5.7543 0.8915